(1)
The following is a PBE-GGA calculation of a relaxed K2NaTlF6 crystal, from Alexandria via LeMat-Bulk.

a b c (Å): 8.8719 8.8719 8.8719
angles (deg): 90.00 90.00 90.00
With the nearest neighbours (Å) after each atom.
Space group Fm-3m (No. 225)
Inequivalent atoms, fractional coordinates:
K 0.2500 0.2500 0.2500 (multiplicity 8)  12 F 3.14
Na 0.0000 0.0000 0.0000 (multiplicity 4)  6 F 2.25
Tl 0.0000 0.0000 0.5000 (multiplicity 4)  6 F 2.18
F 0.0000 0.0000 0.2538 (multiplicity 24)  1 Tl 2.18, 1 Na 2.25

Summary:
The value obtained for the spin magnetization is 0.00 μB/cell. The calculation puts the energy above the most stable polymorph in this dataset at 0.22 eV/f.u. The value obtained for the formation energy (no corrections) is -2.45 eV per atom. The calculated density comes out at 3.99 g/cm³.

=====

(2)
The following is a PBE-GGA calculation of a relaxed K2NaTlF crystal, from Alexandria via LeMat-Bulk.

a b c (Å): 5.4320 5.4320 5.2060
angles (deg): 90.00 90.00 90.00
With the nearest neighbours (Å) after each atom.
Space group P4/mmm (No. 123)
Inequivalent atoms, fractional coordinates:
K 0.0000 0.5000 0.0000 (multiplicity 2)  2 F 2.72
Na 0.0000 0.0000 0.5000 (multiplicity 1)  2 F 2.60
Tl 0.5000 0.5000 0.5000 (multiplicity 1)  8 K 3.76, 4 Na 3.84
F 0.0000 0.0000 0.0000 (multiplicity 1)  2 Na 2.60, 4 K 2.72

Summary:
The value obtained for the spin magnetization is 0.00 μB/cell. The value obtained for the formation energy (no corrections) is -1.02 eV per atom. The calculated density comes out at 3.51 g/cm³.

=====

(3)
The following is a PBE-GGA calculation of a relaxed KNa2TmF6 crystal, from Alexandria via LeMat-Bulk.

a b c (Å): 5.9790 5.9790 16.0140
angles (deg): 90.00 90.00 120.00
With the nearest neighbours (Å) after each atom.
Space group R3 (No. 146, hexagonal axes)
Inequivalent atoms, fractional coordinates:
K 0.0000 0.0000 0.0000 (multiplicity 3)  6 F 2.59-2.76
Na 0.0000 0.0000 0.2789 (multiplicity 3)  6 F 2.34-2.47
Na 0.0000 0.0000 0.7887 (multiplicity 3)  6 F 2.26-2.47
Tm 0.0000 0.0000 0.4851 (multiplicity 3)  6 F 2.15-2.16
F 0.0086 0.3541 0.2139 (multiplicity 9)  1 Tm 2.15, 1 Na 2.34
F 0.0425 0.7531 0.3953 (multiplicity 9)  1 Tm 2.16, 1 Na 2.26

Summary:
The value obtained for the spin magnetization is 0.62 μB/cell. The value obtained for the formation energy (no corrections) is -3.34 eV per atom. The calculated density comes out at 3.70 g/cm³.

=====

(4)
The following is a PBE-GGA calculation of a relaxed K3Na2TmF9 crystal, from Alexandria via LeMat-Bulk.

a b c (Å): 6.1609 6.1609 7.8525
angles (deg): 90.00 90.00 120.00
With the nearest neighbours (Å) after each atom.
Space group P-3m1 (No. 164)
Inequivalent atoms, fractional coordinates:
K 0.0000 0.0000 0.0000 (multiplicity 1)  12 F 3.08-3.14
K 0.3333 0.6667 0.7133 (multiplicity 2)  9 F 2.87-3.11
Na 0.3333 0.6667 0.1821 (multiplicity 2)  6 F 2.22-2.28
Tm 0.0000 0.0000 0.5000 (multiplicity 1)  6 F 2.13
F 0.0000 0.5000 0.0000 (multiplicity 3)  2 Na 2.28
F 0.1595 0.3189 0.3365 (multiplicity 6)  1 Tm 2.13, 1 Na 2.22

Summary:
The value obtained for the spin magnetization is 1.20 μB/cell. The value obtained for the formation energy (no corrections) is -2.95 eV per atom. The calculated density comes out at 3.24 g/cm³.

=====

(5)
The following is a PBE-GGA calculation of a relaxed KNa2UF8 crystal, from Alexandria via LeMat-Bulk.

a b c (Å): 5.1402 5.5934 8.1414
angles (deg): 84.87 86.08 84.34
With the nearest neighbours (Å) after each atom.
Space group P-1 (No. 2)
Inequivalent atoms, fractional coordinates:
K 0.0000 0.0000 0.0000 (multiplicity 1)  2 F 2.48
Na 0.4701 0.4732 0.1913 (multiplicity 2)  4 F 2.16-2.41
U 0.0000 0.0000 0.5000 (multiplicity 1)  6 F 2.08-2.09
F 0.1898 0.7791 0.3256 (multiplicity 2)  1 U 2.09
F 0.1924 0.8060 0.6949 (multiplicity 2)  1 U 2.09
F 0.2886 0.2376 0.4596 (multiplicity 2)  1 U 2.08
F 0.3297 0.2967 0.9936 (multiplicity 2)  2 Na 2.16

Summary:
The value obtained for the spin magnetization is 0.95 μB/cell. The value obtained for the formation energy (no corrections) is -3.13 eV per atom. The calculated density comes out at 3.41 g/cm³.